1.
VASP calculation (SCAN) on a crystal of KFeCuH2 relaxed with PBEsol.

Results
- Space group: P4/mmm, No. 123
- Total DFT energy (no corrections): -8.39 eV per atom

Unit cell a=3.826 b=3.826 c=5.439 alpha=90.00 beta=90.00 gamma=90.00
Element x y z (fractional)
K: 0.000 0.000 0.000
Fe: 0.500 0.500 0.000
Cu: 0.000 0.000 0.500
H: 0.000 0.500 0.500
H: 0.500 0.000 0.500

***

2.
VASP calculation (SCAN) on a crystal of Na2NbRe relaxed with PBEsol.

Results
- Space group: Fm-3m, No. 225
- Energy of formation from the pure elements: 1.7140 eV/atom

Unit cell a=6.628 b=6.628 c=6.628 alpha=90.00 beta=90.00 gamma=90.00
Element x y z (fractional)
Na: 0.250 0.250 0.250
Na: 0.250 0.250 0.750
Na: 0.250 0.750 0.250
Na: 0.250 0.750 0.750
Na: 0.750 0.250 0.250
Na: 0.750 0.250 0.750
Na: 0.750 0.750 0.250
Na: 0.750 0.750 0.750
Nb: 0.000 0.000 0.000
Nb: 0.000 0.500 0.500
Nb: 0.500 0.000 0.500
Nb: 0.500 0.500 0.000
Re: 0.000 0.000 0.500
Re: 0.000 0.500 0.000
Re: 0.500 0.000 0.000
Re: 0.500 0.500 0.500

***

3.
VASP calculation (SCAN) on a crystal of Sr2CrRuPt relaxed with PBEsol.

Results
- Space group: P4/mmm, No. 123
- Energy of formation from the pure elements: 0.8613 eV/atom

Unit cell a=5.648 b=5.648 c=4.449 alpha=90.00 beta=90.00 gamma=90.00
Element x y z (fractional)
Sr: 0.000 0.500 0.000
Sr: 0.500 0.000 0.000
Cr: 0.000 0.000 0.000
Ru: 0.500 0.500 0.500
Pt: 0.000 0.000 0.500

***

Repeat the second record exactly.
VASP calculation (SCAN) on a crystal of Na2NbRe relaxed with PBEsol.

Results
- Space group: Fm-3m, No. 225
- Energy of formation from the pure elements: 1.7140 eV/atom

Unit cell a=6.628 b=6.628 c=6.628 alpha=90.00 beta=90.00 gamma=90.00
Element x y z (fractional)
Na: 0.250 0.250 0.250
Na: 0.250 0.250 0.750
Na: 0.250 0.750 0.250
Na: 0.250 0.750 0.750
Na: 0.750 0.250 0.250
Na: 0.750 0.250 0.750
Na: 0.750 0.750 0.250
Na: 0.750 0.750 0.750
Nb: 0.000 0.000 0.000
Nb: 0.000 0.500 0.500
Nb: 0.500 0.000 0.500
Nb: 0.500 0.500 0.000
Re: 0.000 0.000 0.500
Re: 0.000 0.500 0.000
Re: 0.500 0.000 0.000
Re: 0.500 0.500 0.500